Record 1
Computed, not measured: a relaxed structure of KPt2F11 at the PBE level of DFT.

Values from the calculation:
space-group type	Ibam (72)
total magnetic moment	4.270	μB/cell
formation energy from raw total energies	-1485.5	meV per atom

extended XYZ file:
```
28
Lattice="-4.7690 4.8077 5.4999 4.7690 -4.8077 5.4999 4.7690 4.8077 -5.4999" Properties=species:S:1:pos:R:3 pbc="T T T"
K 0.0000 0.0000 2.7500
K 0.0000 0.0000 8.2499
Pt 6.1803 1.4664 0.0000
Pt 1.4112 3.3413 0.0000
Pt 3.3578 1.4664 5.4999
Pt -1.4112 3.3413 5.4999
F 4.7690 0.0000 0.0000
F 2.3750 -0.5286 1.3572
F 5.2060 -2.4131 4.1435
F 5.2060 2.4131 -1.3564
F 7.1631 0.5286 1.3572
F 2.7172 1.9746 0.0000
F 2.7172 -1.9746 5.4999
F 2.3941 4.2791 -1.3572
F 0.4370 2.3946 1.3564
F 5.2060 2.4131 1.3564
F 2.3750 0.5286 4.1428
F 0.0000 4.8077 0.0000
F 2.3941 4.2791 1.3572
F -0.4370 2.3946 4.1435
F 4.3321 2.4131 4.1435
F 2.3750 0.5286 6.8571
F 2.0518 6.7824 0.0000
F 2.0518 2.8331 5.4999
F -2.3941 4.2791 4.1428
F -0.4370 2.3946 6.8564
F -0.4370 7.2209 1.3564
F 2.3941 5.3364 4.1428
```

Record 2
Computed, not measured: a relaxed structure of K2PtF8 at the PBE level of DFT.

Values from the calculation:
space-group type	C2/m (12)
total magnetic moment	2.091	μB/cell
formation energy from raw total energies	-1771.8	meV per atom

extended XYZ file:
```
11
Lattice="5.5895 -4.0589 0.0000 5.5895 4.0589 0.0000 -2.0535 0.0000 4.6061" Properties=species:S:1:pos:R:3 pbc="T T T"
K 1.2735 0.0000 1.4152
K 7.8520 0.0000 3.1910
Pt 5.5895 0.0000 0.0000
F -0.6631 0.0000 3.2333
F 2.7634 1.3535 3.4473
F 3.9623 0.0000 1.0081
F 6.3620 1.3535 1.1588
F 2.7634 -1.3535 3.4473
F 5.1632 0.0000 3.5980
F 6.3620 -1.3535 1.1588
F 9.7885 0.0000 1.3729
```

Record 3
Computed, not measured: a relaxed structure of KPtF4 at the PBE level of DFT.

Values from the calculation:
space-group type	I4_1/amd (141)
total magnetic moment	1.992	μB/cell
formation energy from raw total energies	-1463.6	meV per atom

extended XYZ file:
```
12
Lattice="-3.9224 3.9224 4.0327 3.9224 -3.9224 4.0327 3.9224 3.9224 -4.0327" Properties=species:S:1:pos:R:3 pbc="T T T"
K 3.9224 1.9612 1.0082
K 0.0000 1.9612 3.0245
Pt 3.9224 -1.9612 3.0245
Pt 0.0000 5.8837 1.0082
F 3.9224 -0.7187 1.4635
F 3.9224 3.2037 -1.4635
F 1.2425 1.9612 0.5528
F 2.6800 -1.9612 4.5855
F 1.2425 5.8837 -0.5528
F 2.6800 1.9612 3.4799
F 0.0000 0.7187 5.4962
F 0.0000 4.6412 2.5692
```